# 1
The following is a PBE calculation of an optimized crystal structure of InBiIrPb2, from Alexandria.

Calculated values
Calculated density = 8.961 g/cm³
V = 172 Å³/f.u.
DOS at the Fermi energy = 4.8 states/eV/f.u.
Formation energy from the elements = 1.41 eV per atom

Cell and atoms, written as CIF:
```
data_InBiIrPb2
_cell_length_a 5.555
_cell_length_b 5.555
_cell_length_c 5.587
_cell_angle_alpha 90.00
_cell_angle_beta 90.00
_cell_angle_gamma 90.00
_space_group_name_H-M_alt 'P 4/m m m'
_space_group_IT_number 123
_space_group_name_Hall '-P 4 2'
loop_
_atom_site_label
_atom_site_type_symbol
_atom_site_fract_x
_atom_site_fract_y
_atom_site_fract_z
_atom_site_occupancy
In1 In 0.000 0.000 0.000 1
Bi1 Bi 0.000 0.000 0.500 1
Ir1 Ir 0.500 0.500 0.500 1
Pb1 Pb 0.000 0.500 0.000 1
```

=====

# 2
The following is a PBE calculation of an optimized crystal structure of In2BiIrPb, from Alexandria.

Calculated values
Calculated density = 8.446 g/cm³
V = 165 Å³/f.u.
DOS at the Fermi energy = 3.8 states/eV/f.u.
Formation energy from the elements = 1.00 eV per atom

Cell and atoms, written as CIF:
```
data_In2BiIrPb
_cell_length_a 5.685
_cell_length_b 5.685
_cell_length_c 5.098
_cell_angle_alpha 90.00
_cell_angle_beta 90.00
_cell_angle_gamma 90.00
_space_group_name_H-M_alt 'P 4/m m m'
_space_group_IT_number 123
_space_group_name_Hall '-P 4 2'
loop_
_atom_site_label
_atom_site_type_symbol
_atom_site_fract_x
_atom_site_fract_y
_atom_site_fract_z
_atom_site_occupancy
In1 In 0.000 0.500 0.000 1
Bi1 Bi 0.000 0.000 0.500 1
Ir1 Ir 0.500 0.500 0.500 1
Pb1 Pb 0.500 0.500 0.000 1
```

=====

# 3
The following is a PBE calculation of an optimized crystal structure of PmInBiIr, from Alexandria.

Calculated values
Calculated density = 11.522 g/cm³
V = 95 Å³/f.u.
DOS at the Fermi energy = 0.4 states/eV/f.u.
Formation energy from the elements = -0.20 eV per atom

Cell and atoms, written as CIF:
```
data_PmInBiIr
_cell_length_a 7.250
_cell_length_b 7.250
_cell_length_c 7.250
_cell_angle_alpha 90.00
_cell_angle_beta 90.00
_cell_angle_gamma 90.00
_space_group_name_H-M_alt 'F -4 3 m'
_space_group_IT_number 216
_space_group_name_Hall 'F -4 2 3'
loop_
_atom_site_label
_atom_site_type_symbol
_atom_site_fract_x
_atom_site_fract_y
_atom_site_fract_z
_atom_site_occupancy
Pm1 Pm 0.000 0.000 0.000 1
In1 In 0.250 0.250 0.750 1
Bi1 Bi 0.000 0.000 0.500 1
Ir1 Ir 0.250 0.250 0.250 1
```

=====

# 4
The following is a PBE calculation of an optimized crystal structure of ScInBi2Ir, from Alexandria.

Calculated values
Calculated density = 8.091 g/cm³
V = 158 Å³/f.u.
DOS at the Fermi energy = 5.1 states/eV/f.u.
Formation energy from the elements = 1.13 eV per atom

Cell and atoms, written as CIF:
```
data_ScInBi2Ir
_cell_length_a 5.432
_cell_length_b 5.432
_cell_length_c 5.356
_cell_angle_alpha 90.00
_cell_angle_beta 90.00
_cell_angle_gamma 90.00
_space_group_name_H-M_alt 'P 4/m m m'
_space_group_IT_number 123
_space_group_name_Hall '-P 4 2'
loop_
_atom_site_label
_atom_site_type_symbol
_atom_site_fract_x
_atom_site_fract_y
_atom_site_fract_z
_atom_site_occupancy
Sc1 Sc 0.000 0.000 0.000 1
In1 In 0.000 0.000 0.500 1
Bi1 Bi 0.000 0.500 0.000 1
Ir1 Ir 0.500 0.500 0.500 1
```